No. 1
## ScHPd3 (GGA-PBE)

Data for an optimized crystal structure of ScHPd3.

Output
- excess energy over the best structure of this formula in the dataset (eV per formula unit) = 2.739
- magnetization (μB/f.u.) = 0.000
- calculated total energy (eV per atom) = -5.20

```
ScHPd3
1.0
3.0710 -6.3946 0.0000
3.0710 6.3946 0.0000
0.0000 0.0000 5.0948
Sc H Pd
2 2 6
Cartesian
3.0710 4.0636 1.2737
3.0710 -4.0636 3.8211
3.0710 1.9019 1.2737
3.0710 -1.9019 3.8211
1.3434 2.0435 1.2737
4.7986 2.0435 1.2737
1.3434 -2.0435 3.8211
4.7986 -2.0435 3.8211
0.0000 0.0000 0.0000
0.0000 0.0000 2.5474
```

---

No. 2
## Sc3GaAu2 (GGA-PBE)

Data for an optimized crystal structure of Sc3GaAu2.

Output
- magnetization (μB/f.u.) = 0.000
- formation energy (eV/atom) = -0.743
- calculated total energy (eV per atom) = -5.51

```
Sc3GaAu2
1.0
-2.8769 -1.2487 1.2962
0.1260 -2.5777 -2.2035
5.3834 -5.4567 6.6913
Sc Ga Au
3 1 2
Cartesian
0.0000 0.0000 0.0000
3.5787 -3.6274 4.4481
1.8047 -1.8292 2.2431
1.3163 -4.6416 2.8920
3.0801 -6.4294 5.0843
-0.4476 -2.8537 0.6997
```

---

- What is the calculated total energy in the first record?
  -5.20 eV per atom

---

What did the first record say?
## ScHPd3 (GGA-PBE)

Data for an optimized crystal structure of ScHPd3.

Output
- excess energy over the best structure of this formula in the dataset (eV per formula unit) = 2.739
- magnetization (μB/f.u.) = 0.000
- calculated total energy (eV per atom) = -5.20

```
ScHPd3
1.0
3.0710 -6.3946 0.0000
3.0710 6.3946 0.0000
0.0000 0.0000 5.0948
Sc H Pd
2 2 6
Cartesian
3.0710 4.0636 1.2737
3.0710 -4.0636 3.8211
3.0710 1.9019 1.2737
3.0710 -1.9019 3.8211
1.3434 2.0435 1.2737
4.7986 2.0435 1.2737
1.3434 -2.0435 3.8211
4.7986 -2.0435 3.8211
0.0000 0.0000 0.0000
0.0000 0.0000 2.5474
```

---

Please write out number 1 again, unchanged.
## ScHPd3 (GGA-PBE)

Data for an optimized crystal structure of ScHPd3.

Output
- excess energy over the best structure of this formula in the dataset (eV per formula unit) = 2.739
- magnetization (μB/f.u.) = 0.000
- calculated total energy (eV per atom) = -5.20

```
ScHPd3
1.0
3.0710 -6.3946 0.0000
3.0710 6.3946 0.0000
0.0000 0.0000 5.0948
Sc H Pd
2 2 6
Cartesian
3.0710 4.0636 1.2737
3.0710 -4.0636 3.8211
3.0710 1.9019 1.2737
3.0710 -1.9019 3.8211
1.3434 2.0435 1.2737
4.7986 2.0435 1.2737
1.3434 -2.0435 3.8211
4.7986 -2.0435 3.8211
0.0000 0.0000 0.0000
0.0000 0.0000 2.5474
```